# 1
First-principles (GGA-PBE) data for a geometry-optimized Ba3ZrGa2O8 structure, as listed in Alexandria via LeMat-Bulk.

Cell lengths 5.9063, 5.9063, 7.5611 Å; angles 90.00, 90.00, 120.00 degrees
Fractional positions:
Ba1 0.0000 0.0000 0.0000
Ba2 0.3333 0.6667 0.6642
Ba3 0.6667 0.3333 0.3358
Zr1 0.0000 0.0000 0.5000
Ga1 0.3333 0.6667 0.2223
Ga2 0.6667 0.3333 0.7777
O1 0.1661 0.3322 0.3322
O2 0.1661 0.8339 0.3322
O3 0.3322 0.1661 0.6678
O4 0.3333 0.6667 0.9867
O5 0.6667 0.3333 0.0133
O6 0.6678 0.8339 0.3322
O7 0.8339 0.1661 0.6678
O8 0.8339 0.6678 0.6678

Summary:
Symmetry: P-3m1 (164)
Uncorrected formation energy in eV per atom: -2.587

=====

# 2
First-principles (GGA-PBE) data for a geometry-optimized Pm2MgTi structure, as listed in Alexandria via LeMat-Bulk.

Cell lengths 12.0303, 12.0303, 12.0303 Å; angles 15.55, 15.55, 15.55 degrees
Fractional positions:
Pm1 0.0828 0.0828 0.0828
Pm2 0.9172 0.9172 0.9172
Mg1 0.5000 0.5000 0.5000
Ti1 0.0000 0.0000 0.0000

Summary:
Symmetry: R-3m (166)
Energy above the most stable polymorph in this dataset in meV per atom: 312.6
DFT formation energy in eV/atom: 0.424

=====

# 3
First-principles (GGA-PBE) data for a geometry-optimized BaSnPb4 structure, as listed in Alexandria via LeMat-Bulk.

Cell lengths 13.9022, 13.9022, 6.6503 Å; angles 90.00, 90.00, 159.54 degrees
Fractional positions:
Ba1 0.0889 0.9111 0.7500
Ba2 0.9111 0.0889 0.2500
Sn1 0.4049 0.5951 0.7500
Sn2 0.5951 0.4049 0.2500
Pb1 0.1635 0.8365 0.2500
Pb2 0.2918 0.7082 0.0114
Pb3 0.2918 0.7082 0.4886
Pb4 0.5000 0.5000 0.0000
Pb5 0.5000 0.5000 0.5000
Pb6 0.7082 0.2918 0.5114
Pb7 0.7082 0.2918 0.9886
Pb8 0.8365 0.1635 0.7500

Summary:
Symmetry: Cmcm (63)
Energy above the most stable polymorph in this dataset in meV per atom: 49.8
DFT formation energy in eV/atom: -0.120

=====

# 4
First-principles (GGA-PBE) data for a geometry-optimized KGePO2 structure, as listed in Alexandria via LeMat-Bulk.

Cell lengths 4.0772, 4.0772, 4.8102 Å; angles 90.00, 90.00, 90.00 degrees
Fractional positions:
K1 0.0000 0.0000 0.0000
Ge1 0.5000 0.5000 0.5000
P1 0.5000 0.5000 0.0000
O1 0.0000 0.5000 0.5000
O2 0.5000 0.0000 0.5000

Summary:
Symmetry: P4/mmm (123)
Energy above the most stable polymorph in this dataset in meV per atom: 0.0
Uncorrected formation energy in eV per atom: -0.305

=====

# 5
First-principles (GGA-PBE) data for a geometry-optimized PuIn7Hg12 structure, as listed in Alexandria via LeMat-Bulk.

Cell lengths 8.4597, 8.4597, 8.4597 Å; angles 101.99, 101.99, 101.99 degrees
Fractional positions:
Pu1 0.0000 0.0000 0.0000
In1 0.1050 0.3923 0.2105
In2 0.2105 0.1050 0.3923
In3 0.3923 0.2105 0.1050
In4 0.5000 0.5000 0.5000
In5 0.6077 0.7895 0.8950
In6 0.7895 0.8950 0.6077
In7 0.8950 0.6077 0.7895
Hg1 0.1093 0.7307 0.1887
Hg2 0.1554 0.4567 0.6108
Hg3 0.1887 0.1093 0.7307
Hg4 0.2693 0.8113 0.8907
Hg5 0.3892 0.8446 0.5433
Hg6 0.4567 0.6108 0.1554
Hg7 0.5433 0.3892 0.8446
Hg8 0.6108 0.1554 0.4567
Hg9 0.7307 0.1887 0.1093
Hg10 0.8113 0.8907 0.2693
Hg11 0.8446 0.5433 0.3892
Hg12 0.8907 0.2693 0.8113

Summary:
Symmetry: R-3 (148)
DFT formation energy in eV/atom: -0.003

=====

# 6
First-principles (GGA-PBE) data for a geometry-optimized SrLiPrMg structure, as listed in Alexandria via LeMat-Bulk.

Cell lengths 5.7101, 5.7101, 5.7101 Å; angles 60.00, 60.00, 60.00 degrees
Fractional positions:
Sr1 0.0000 0.0000 0.0000
Li1 0.7500 0.7500 0.7500
Pr1 0.5000 0.5000 0.5000
Mg1 0.2500 0.2500 0.2500

Summary:
Symmetry: F-43m (216)
DFT formation energy in eV/atom: 0.044

=====

# 7
First-principles (GGA-PBE) data for a geometry-optimized Ca2Te structure, as listed in Alexandria via LeMat-Bulk.

Cell lengths 7.2892, 7.2892, 7.2850 Å; angles 101.94, 101.94, 33.59 degrees
Fractional positions:
Ca1 0.0000 0.0000 0.0000
Ca2 0.0000 0.0000 0.5000
Ca3 0.2822 0.2822 0.7292
Ca4 0.7178 0.7178 0.2708
Te1 0.3808 0.3808 0.1894
Te2 0.6192 0.6192 0.8106

Summary:
Symmetry: C2/m (12)
Uncorrected formation energy in eV per atom: -0.971

=====

# 8
First-principles (GGA-PBE) data for a geometry-optimized KAcHo4S8 structure, as listed in Alexandria via LeMat-Bulk.

Cell lengths 8.4629, 8.4629, 8.4629 Å; angles 57.81, 57.81, 57.81 degrees
Fractional positions:
K1 0.0000 0.0000 0.0000
Ac1 0.3657 0.3657 0.3657
Ho1 0.3642 0.3642 0.8826
Ho2 0.3642 0.8826 0.3642
Ho3 0.7430 0.7430 0.7430
Ho4 0.8826 0.3642 0.3642
S1 0.1223 0.1223 0.5731
S2 0.1223 0.5731 0.1223
S3 0.1341 0.6216 0.6216
S4 0.1371 0.1371 0.1371
S5 0.5731 0.1223 0.1223
S6 0.6122 0.6122 0.6122
S7 0.6216 0.1341 0.6216
S8 0.6216 0.6216 0.1341

Summary:
Symmetry: R3m (160)
Uncorrected formation energy in eV per atom: -1.930

=====

| no. | DOS(E_F) (states/eV/cell) |
| --- | --- |
| 1 | 0.00 |
| 2 | 4.63 |
| 3 | 5.84 |
| 4 | 2.04 |
| 5 | 14.09 |
| 6 | 4.14 |
| 7 | 2.10 |
| 8 | 0.00 |